(1)
! PBE Li2Ho2ScPd5, optimized geometry; values from VASP
! - ΔE_f: -0.7526 eV/atom
! - V: 172.2 Å³/f.u.
! - Density: 8.88 g/cm3
! - SG: No. 127
&SYSTEM
  ibrav = 0, nat = 20, ntyp = 4
/
ATOMIC_SPECIES
Li 6.94 Li.upf
Ho 164.93 Ho.upf
Sc 44.96 Sc.upf
Pd 106.42 Pd.upf
CELL_PARAMETERS angstrom
9.799 0.000 0.000
0.000 9.799 0.000
0.000 0.000 3.587
ATOMIC_POSITIONS angstrom
Li 1.193 3.707 0.000
Li 3.707 8.606 0.000
Li 6.092 1.193 0.000
Li 8.606 6.092 0.000
Ho 1.718 6.618 0.000
Ho 3.181 1.718 0.000
Ho 6.618 8.081 0.000
Ho 8.081 3.181 0.000
Sc 0.000 0.000 0.000
Sc 4.900 4.900 0.000
Pd 0.000 4.900 1.794
Pd 0.667 2.038 1.794
Pd 2.038 9.132 1.794
Pd 2.862 4.232 1.794
Pd 4.232 6.937 1.794
Pd 4.900 0.000 1.794
Pd 5.567 2.862 1.794
Pd 6.937 5.567 1.794
Pd 7.761 0.667 1.794
Pd 9.132 7.761 1.794

***

(2)
! PBE LiHoScPd, optimized geometry; values from VASP
! - ΔE_f: -0.4171 eV/atom
! - V: 81.5 Å³/f.u.
! - Density: 6.59 g/cm3
! - SG: No. 216
&SYSTEM
  ibrav = 0, nat = 16, ntyp = 4
/
ATOMIC_SPECIES
Li 6.94 Li.upf
Ho 164.93 Ho.upf
Sc 44.96 Sc.upf
Pd 106.42 Pd.upf
CELL_PARAMETERS angstrom
6.883 0.000 0.000
0.000 6.883 0.000
0.000 0.000 6.883
ATOMIC_POSITIONS angstrom
Li 0.000 0.000 0.000
Li 0.000 3.441 3.441
Li 3.441 0.000 3.441
Li 3.441 3.441 0.000
Ho 1.721 1.721 1.721
Ho 1.721 5.162 5.162
Ho 5.162 1.721 5.162
Ho 5.162 5.162 1.721
Sc 1.721 1.721 5.162
Sc 1.721 5.162 1.721
Sc 5.162 1.721 1.721
Sc 5.162 5.162 5.162
Pd 0.000 0.000 3.441
Pd 0.000 3.441 0.000
Pd 3.441 0.000 0.000
Pd 3.441 3.441 3.441

***

(3)
! PBE LiHoSiPd, optimized geometry; values from VASP
! - Formation energy from raw total energies: -694 meV/atom
! - V: 66.5 Å³/f.u.
! - Density: 7.65 g/cm3
! - SG: No. 216
&SYSTEM
  ibrav = 0, nat = 16, ntyp = 4
/
ATOMIC_SPECIES
Li 6.94 Li.upf
Ho 164.93 Ho.upf
Si 28.09 Si.upf
Pd 106.42 Pd.upf
CELL_PARAMETERS angstrom
6.432 0.000 0.000
0.000 6.432 0.000
0.000 0.000 6.432
ATOMIC_POSITIONS angstrom
Li 0.000 0.000 0.000
Li 0.000 3.216 3.216
Li 3.216 0.000 3.216
Li 3.216 3.216 0.000
Ho 1.608 1.608 4.824
Ho 1.608 4.824 1.608
Ho 4.824 1.608 1.608
Ho 4.824 4.824 4.824
Si 1.608 1.608 1.608
Si 1.608 4.824 4.824
Si 4.824 1.608 4.824
Si 4.824 4.824 1.608
Pd 0.000 0.000 3.216
Pd 0.000 3.216 0.000
Pd 3.216 0.000 0.000
Pd 3.216 3.216 3.216

***

(4)
! PBE Li2Ho2Si4Pd, optimized geometry; values from VASP
! - Formation energy from raw total energies: -547 meV/atom
! - V: 151.9 Å³/f.u.
! - Density: 6.15 g/cm3
! - SG: No. 139
&SYSTEM
  ibrav = 0, nat = 9, ntyp = 4
/
ATOMIC_SPECIES
Li 6.94 Li.upf
Ho 164.93 Ho.upf
Si 28.09 Si.upf
Pd 106.42 Pd.upf
CELL_PARAMETERS angstrom
-2.976 2.976 4.290
2.976 -2.976 4.290
2.976 2.976 -4.290
ATOMIC_POSITIONS angstrom
Li 0.000 0.000 1.851
Li 0.000 0.000 6.728
Ho 2.976 0.000 2.145
Ho 0.000 2.976 2.145
Si 1.250 1.250 0.000
Si 1.726 -1.726 4.290
Si -1.726 1.726 4.290
Si 1.726 1.726 4.290
Pd 0.000 0.000 4.290

***

(5)
! PBE LiHoSi2Pd5, optimized geometry; values from VASP
! - Formation energy from raw total energies: -748 meV/atom
! - V: 151.1 Å³/f.u.
! - Density: 8.35 g/cm3
! - SG: No. 123
&SYSTEM
  ibrav = 0, nat = 9, ntyp = 4
/
ATOMIC_SPECIES
Li 6.94 Li.upf
Ho 164.93 Ho.upf
Si 28.09 Si.upf
Pd 106.42 Pd.upf
CELL_PARAMETERS angstrom
4.082 0.000 0.000
0.000 4.082 0.000
0.000 0.000 9.067
ATOMIC_POSITIONS angstrom
Li 0.000 0.000 0.000
Ho 0.000 0.000 4.534
Si 2.041 2.041 1.163
Si 2.041 2.041 7.904
Pd 0.000 2.041 2.397
Pd 0.000 2.041 6.670
Pd 2.041 0.000 2.397
Pd 2.041 0.000 6.670
Pd 2.041 2.041 4.534

***

(6)
! PBE LiHoSn2Pd4, optimized geometry; values from VASP
! - ΔE_f: -0.7407 eV/atom
! - V: 143.0 Å³/f.u.
! - Density: 9.69 g/cm3
! - SG: No. 166
&SYSTEM
  ibrav = 0, nat = 8, ntyp = 4
/
ATOMIC_SPECIES
Li 6.94 Li.upf
Ho 164.93 Ho.upf
Sn 118.71 Sn.upf
Pd 106.42 Pd.upf
CELL_PARAMETERS angstrom
2.318 1.338 7.683
-2.318 1.338 7.683
0.000 -2.677 7.683
ATOMIC_POSITIONS angstrom
Li 0.000 0.000 0.000
Ho 0.000 0.000 11.525
Sn 0.000 0.000 5.860
Sn 0.000 0.000 17.189
Pd 0.000 0.000 2.674
Pd 0.000 0.000 8.617
Pd 0.000 0.000 14.433
Pd 0.000 0.000 20.376

***

(7)
! PBE SrLiHoPd, optimized geometry; values from VASP
! - ΔE_f: -0.2437 eV/atom
! - V: 99.7 Å³/f.u.
! - Density: 6.09 g/cm3
! - SG: No. 216
&SYSTEM
  ibrav = 0, nat = 16, ntyp = 4
/
ATOMIC_SPECIES
Sr 87.62 Sr.upf
Li 6.94 Li.upf
Ho 164.93 Ho.upf
Pd 106.42 Pd.upf
CELL_PARAMETERS angstrom
7.361 0.000 0.000
0.000 7.361 0.000
0.000 0.000 7.361
ATOMIC_POSITIONS angstrom
Sr 0.000 0.000 0.000
Sr 0.000 3.680 3.680
Sr 3.680 0.000 3.680
Sr 3.680 3.680 0.000
Li 1.840 1.840 5.521
Li 1.840 5.521 1.840
Li 5.521 1.840 1.840
Li 5.521 5.521 5.521
Ho 0.000 0.000 3.680
Ho 0.000 3.680 0.000
Ho 3.680 0.000 0.000
Ho 3.680 3.680 3.680
Pd 1.840 1.840 1.840
Pd 1.840 5.521 5.521
Pd 5.521 1.840 5.521
Pd 5.521 5.521 1.840

***

(8)
! PBE LiTbHo2Pd4, optimized geometry; values from VASP
! - ΔE_f: -0.7956 eV/atom
! - V: 160.7 Å³/f.u.
! - Density: 9.52 g/cm3
! - SG: No. 166
&SYSTEM
  ibrav = 0, nat = 8, ntyp = 4
/
ATOMIC_SPECIES
Li 6.94 Li.upf
Tb 158.93 Tb.upf
Ho 164.93 Ho.upf
Pd 106.42 Pd.upf
CELL_PARAMETERS angstrom
2.434 1.405 7.830
-2.434 1.405 7.830
0.000 -2.810 7.830
ATOMIC_POSITIONS angstrom
Li 0.000 0.000 0.000
Tb 0.000 0.000 11.745
Ho 0.000 0.000 6.055
Ho 0.000 0.000 17.436
Pd 0.000 0.000 2.925
Pd 0.000 0.000 8.889
Pd 0.000 0.000 14.602
Pd 0.000 0.000 20.565